Record 1
Sm2HoAg2 after structural relaxation, computed with GGA-PBE.

Cell: 5.7668 4.7296 10.8095 Å, 90.00 97.30 90.00°
With the nearest neighbours (Å) after each atom.
Space group P2_1/m (No. 11)
Asymmetric unit:
Sm  0.1076  0.2500  0.3778 [2 per cell]  5 Ag 3.00-3.16
Sm  0.2544  0.2500  0.0459 [2 per cell]  4 Ag 3.02-3.11
Ho  0.4116  0.2500  0.7162 [2 per cell]  5 Ag 3.07-3.10
Ag  0.2305  0.7500  0.8578 [2 per cell]  5 Sm 3.00-3.11, 2 Ho 3.07
Ag  0.3685  0.7500  0.5310 [2 per cell]  2 Ag 2.93, 4 Sm 3.03-3.16, 3 Ho 3.09-3.10

excess energy over the best structure of this formula in the dataset	129	meV per atom
DOS at the Fermi energy	11.51	states/eV/cell
V	29.24	Å³/atom
DFT formation energy	-0.08	eV per atom
magnetization	0.00	μB per formula unit

=====

Record 2
SmHo4Ag after structural relaxation, computed with GGA-PBE.

Cell: 5.4092 20.9111 6.4467 Å, 90.00 90.00 90.00°
With the nearest neighbours (Å) after each atom.
Space group Cmc2_1 (No. 36)
Asymmetric unit:
Sm  0.0000  0.1353  0.0000 [4 per cell]  2 Ag 3.23, 7 Ho 3.49-3.60
Ho  0.0000  0.0666  0.5074 [4 per cell]  2 Ag 3.25, 2 Sm 3.49-3.57, 6 Ho 3.53-3.64
Ho  0.0000  0.2580  0.6291 [4 per cell]  1 Ag 3.03, 2 Ho 3.21
Ho  0.0000  0.3244  0.1414 [4 per cell]  1 Ag 2.94, 3 Ho 3.21-3.23
Ho  0.0000  0.4655  0.3444 [4 per cell]  2 Ag 2.92-2.98, 1 Ho 3.23
Ag  0.0000  0.3979  0.7520 [4 per cell]  6 Ho 2.92-3.25, 2 Sm 3.23

excess energy over the best structure of this formula in the dataset	132	meV per atom
DOS at the Fermi energy	36.64	states/eV/cell
V	30.38	Å³/atom
DFT formation energy	0.05	eV per atom
magnetization	0.00	μB per formula unit

=====

Record 3
SmHo3Ag2 after structural relaxation, computed with GGA-PBE.

Cell: 7.0635 13.9815 7.4004 Å, 90.00 90.00 90.00°
With the nearest neighbours (Å) after each atom.
Space group Ibam (No. 72)
Asymmetric unit:
Sm  0.0000  0.0000  0.0000 [4 per cell]  2 Ag 2.93
Ho  0.0000  0.2292  0.2500 [8 per cell]  4 Ag 2.92-3.06
Ho  0.0000  0.5000  0.2500 [4 per cell]  4 Ag 3.07
Ag  0.1983  0.3563  0.0000 [8 per cell]  6 Ho 2.92-3.07, 1 Sm 2.93

excess energy over the best structure of this formula in the dataset	238	meV per atom
DOS at the Fermi energy	31.20	states/eV/cell
V	30.45	Å³/atom
DFT formation energy	0.04	eV per atom
magnetization	0.00	μB per formula unit

=====

Record 4
Sm5Ho3Ag2 after structural relaxation, computed with GGA-PBE.

Cell: 11.4776 16.2358 6.6621 Å, 90.00 90.00 90.00°
With the nearest neighbours (Å) after each atom.
Space group Ibam (No. 72)
Asymmetric unit:
Sm  0.0000  0.0000  0.2500 [4 per cell]  8 Sm 3.15-3.33
Sm  0.0000  0.1941  0.2500 [8 per cell]  2 Ag 2.99, 3 Sm 3.15-3.33
Sm  0.2329  0.0632  0.0000 [8 per cell]  1 Ag 2.90
Ho  0.0000  0.5000  0.2500 [4 per cell]  4 Ag 3.10, 2 Ho 3.33
Ho  0.2179  0.3340  0.0000 [8 per cell]  1 Ag 3.10
Ag  0.0517  0.3428  0.5000 [8 per cell]  3 Sm 2.90-2.99, 3 Ho 3.10

DOS at the Fermi energy	55.07	states/eV/cell
V	31.04	Å³/atom
DFT formation energy	0.13	eV per atom
magnetization	0.00	μB per formula unit

=====

Record 5
Sm4HoAg after structural relaxation, computed with GGA-PBE.

Cell: 5.5127 20.9517 6.4915 Å, 90.00 90.00 90.00°
With the nearest neighbours (Å) after each atom.
Space group Cmc2_1 (No. 36)
Asymmetric unit:
Sm  0.0000  0.0351  0.0000 [4 per cell]  2 Ag 3.01-3.04, 1 Sm 3.23
Sm  0.0000  0.1780  0.8127 [4 per cell]  1 Ag 3.03, 3 Sm 3.18-3.23
Sm  0.0000  0.2469  0.2868 [4 per cell]  1 Ag 3.06, 3 Sm 3.18-3.40
Sm  0.0000  0.4358  0.1705 [4 per cell]  2 Ag 3.35, 4 Sm 3.54-3.63, 2 Ho 3.55-3.56
Ho  0.0000  0.3666  0.6712 [4 per cell]  2 Ag 3.21, 3 Sm 3.54-3.56
Ag  0.0000  0.1057  0.4088 [4 per cell]  6 Sm 3.01-3.35, 2 Ho 3.21

excess energy over the best structure of this formula in the dataset	113	meV per atom
DOS at the Fermi energy	29.43	states/eV/cell
V	31.24	Å³/atom
DFT formation energy	0.04	eV per atom
magnetization	0.00	μB per formula unit

=====

Record 6
SmHo4Ag2 after structural relaxation, computed with GGA-PBE.

Cell: 4.9474 4.9474 30.6098 Å, 90.00 90.00 120.00°
With the nearest neighbours (Å) after each atom.
Space group R-3m (No. 166, hexagonal axes)
Asymmetric unit:
Sm  0.0000  0.0000  0.0000 [3 per cell]  2 Ag 3.12, 6 Ho 3.46
Ho  0.0000  0.0000  0.2017 [6 per cell]  4 Ag 3.00-3.05
Ho  0.0000  0.0000  0.3971 [6 per cell]  3 Ag 3.09
Ag  0.0000  0.0000  0.1019 [6 per cell]  7 Ho 3.00-3.09, 1 Sm 3.12

DOS at the Fermi energy	33.73	states/eV/cell
V	30.90	Å³/atom
DFT formation energy	0.17	eV per atom
magnetization	0.66	μB per formula unit

=====

Record 7
SmHo2Ag6 after structural relaxation, computed with GGA-PBE.

Cell: 14.0749 10.9655 5.3200 Å, 90.00 100.54 90.00°
With the nearest neighbours (Å) after each atom.
Space group C2/c (No. 15)
Asymmetric unit:
Sm  0.0000  0.1253  0.2500 [4 per cell]  10 Ag 3.09-3.21
Ho  0.1667  0.3759  0.0860 [8 per cell]  10 Ag 3.03-3.14
Ag  0.0551  0.3787  0.5296 [8 per cell]  5 Ag 3.03-3.14, 4 Ho 3.06-3.10, 1 Sm 3.18
Ag  0.1141  0.1298  0.8068 [8 per cell]  2 Ho 3.03-3.10, 5 Ag 3.06-3.20, 3 Sm 3.09-3.21
Ag  0.2256  0.1259  0.3581 [8 per cell]  4 Ho 3.03-3.14, 5 Ag 3.03-3.20, 1 Sm 3.12

DOS at the Fermi energy	23.17	states/eV/cell
V	22.42	Å³/atom
DFT formation energy	-0.20	eV per atom
magnetization	0.00	μB per formula unit

=====

Record 8
Sm9Ho4Ag11 after structural relaxation, computed with GGA-PBE.

Cell: 15.3439 22.4615 3.5589 Å, 90.00 90.00 90.00°
With the nearest neighbours (Å) after each atom.
Space group Cmmm (No. 65)
Asymmetric unit:
Sm  0.0000  0.0000  0.0000 [2 per cell]  4 Ho 3.10
Sm  0.1165  0.2457  0.0000 [8 per cell]  8 Ag 3.14-3.42, 1 Ho 3.45
Sm  0.1253  0.4174  0.0000 [8 per cell]  8 Ag 3.20-3.34, 1 Ho 3.47, 2 Sm 3.56
Ho  0.1488  0.0936  0.0000 [8 per cell]  6 Ag 3.06-3.10, 1 Sm 3.10
Ag  0.0000  0.1430  0.5000 [4 per cell]  4 Ho 3.10, 4 Sm 3.42
Ag  0.0000  0.3356  0.5000 [4 per cell]  8 Sm 3.20-3.23, 2 Ag 3.56
Ag  0.0000  0.5000  0.5000 [2 per cell]  8 Sm 3.21, 2 Ag 3.56
Ag  0.2362  0.0000  0.5000 [4 per cell]  4 Ho 3.06, 4 Sm 3.34
Ag  0.2410  0.3236  0.5000 [8 per cell]  2 Ho 3.08, 6 Sm 3.14-3.28, 1 Ag 3.32

DOS at the Fermi energy	36.32	states/eV/cell
V	25.55	Å³/atom
DFT formation energy	-0.19	eV per atom
magnetization	0.99	μB per formula unit